[1]
LaPr12Ho6 | PBE-GGA | optimized geometry

The space group is R-3 (No. 148, hexagonal axes) and the conventional cell measures 12.2516, 12.2516 and 15.4824 Å, with angles of 90.00, 90.00 and 120.00 degrees. The asymmetric unit holds La at (0.0000, 0.0000, 0.0000), Pr at (0.0029, 0.8281, 0.1921), Pr at (0.0475, 0.8490, 0.4163) and Ho at (0.0149, 0.4284, 0.6868).

For the density of states at the Fermi level, the calculation gives 1.66 states/eV/atom. The calculation puts the excess energy over the best structure of this formula in the dataset at 0 meV per atom. For the spin magnetization, the calculation gives 0.00 μB per cell. For the electronic total energy, the calculation gives -4.60 eV/atom. As for the crystal system: trigonal. For the formation energy, the calculation gives 2.88 kcal/mol of atoms.

***

[2]
Na2Cd2Te3 | PBE-GGA | optimized geometry

The space group is C2/c (No. 15) and the conventional cell measures 17.1158, 15.2151 and 8.1472 Å, with angles of 90.00, 118.37 and 90.00 degrees. The asymmetric unit holds Na at (0.0000, 0.0738, 0.2500), Na at (0.0000, 0.2255, 0.7500), Na at (0.1168, 0.4195, 0.6770), Cd at (0.1818, 0.2354, 0.2609), Cd at (0.2093, 0.0799, 0.7973), Te at (0.1050, 0.3881, 0.0423), Te at (0.1259, 0.2266, 0.5457) and Te at (0.1374, 0.0732, 0.0561).

The calculation puts the excess energy over the best structure of this formula in the dataset at 0 meV per atom. For the spin magnetization, the calculation gives 0.00 μB per cell. For the electronic total energy, the calculation gives -2.64 eV/atom. As for the crystal system: monoclinic.

***

[3]
Rb2CeAgI6 | PBE-GGA | optimized geometry

The space group is Fm-3m (No. 225) and the conventional cell measures 12.3044, 12.3044 and 12.3044 Å, with angles of 90.00, 90.00 and 90.00 degrees. The asymmetric unit holds Rb at (0.2500, 0.2500, 0.2500), Ce at (0.0000, 0.0000, 0.0000), Ag at (0.0000, 0.0000, 0.5000) and I at (0.0000, 0.0000, 0.2536).

For the density of states at the Fermi level, the calculation gives 0.85 states/eV/atom. The calculation puts the excess energy over the best structure of this formula in the dataset at 33 meV per atom. For the spin magnetization, the calculation gives 4.00 μB per cell. For the electronic total energy, the calculation gives -3.15 eV/atom. As for the crystal system: cubic.

***

[4]
InWAu | PBE-GGA | optimized geometry

The space group is I4mm (No. 107) and the conventional cell measures 2.9136, 2.9136 and 12.9238 Å, with angles of 90.00, 90.00 and 90.00 degrees. The asymmetric unit holds In at (0.0000, 0.0000, 0.0000), W at (0.0000, 0.0000, 0.3321) and Au at (0.0000, 0.0000, 0.6783).

For the density of states at the Fermi level, the calculation gives 0.54 states/eV/atom. The calculation puts the excess energy over the best structure of this formula in the dataset at 15 meV per atom. For the spin magnetization, the calculation gives 0.00 μB per cell. For the electronic total energy, the calculation gives -5.90 eV/atom. As for the crystal system: tetragonal. For the formation energy, the calculation gives 9.86 kcal/mol of atoms.